# 1
DFT (PBE) results for a geometry-optimized ReNi3 structure.

a b c (Å): 2.6217 8.3677 2.6217
angles (deg): 99.01 60.00 99.01
Closest atoms and distances in Å follow each position.
Positions (direct):
Ni1 0.9977 0.9932 0.9977  9 Ni 2.51-2.62, 3 Re 2.60
Ni2 0.5023 0.5068 0.5023  9 Ni 2.51-2.62, 3 Re 2.60
Ni3 0.2500 0.7500 0.2500  12 Ni 2.51-2.62
Re1 0.7500 0.2500 0.7500  6 Ni 2.60, 6 Re 2.62

## Properties
- theoretical density (g cm⁻³) = 12.28
- crystal system = trigonal

# 2
DFT (PBE) results for a geometry-optimized Re3Ni structure.

a b c (Å): 4.3193 4.3193 4.3193
angles (deg): 60.00 60.00 60.00
Closest atoms and distances in Å follow each position.
Positions (direct):
Re1 0.2500 0.2500 0.2500  4 Ni 2.65, 4 Re 2.65
Re2 0.5000 0.5000 0.5000  8 Re 2.65
Ni1 0.0000 0.0000 0.0000  8 Re 2.65
Re3 0.7500 0.7500 0.7500  4 Re 2.65, 4 Ni 2.65

## Properties
- theoretical density (g cm⁻³) = 17.99
- crystal system = cubic

# 3
DFT (PBE) results for a geometry-optimized ReNi2 structure.

a b c (Å): 2.5750 6.9109 4.1755
angles (deg): 90.00 90.00 79.26
Closest atoms and distances in Å follow each position.
Positions (direct):
Ni1 0.2260 0.5480 0.5000  6 Ni 2.52-2.61, 6 Re 2.60-2.61
Ni2 0.9970 0.0060 0.0000  4 Re 2.52-2.59, 8 Ni 2.57-2.61
Re1 0.8929 0.2143 0.5000  10 Ni 2.52-2.61, 2 Re 2.57
Ni3 0.5586 0.8829 0.5000  4 Re 2.52-2.59, 8 Ni 2.57-2.61
Ni4 0.3295 0.3409 0.0000  6 Ni 2.52-2.61, 6 Re 2.60-2.61
Re2 0.6627 0.6746 0.0000  10 Ni 2.52-2.61, 2 Re 2.57

## Properties
- offset from the most stable computed form (meV/atom) = 44
- theoretical density (g cm⁻³) = 13.81
- crystal system = orthorhombic

no.,D(E_F) (states/eV per cell),total DFT energy (no corrections) (eV per atom),energy of formation (eV per atom)
1,5.92,-7.352,0.096
2,3.07,-10.551,0.230
3,4.80,-8.010,-0.006